Entry 1:
A plane-wave DFT calculation with PBE-GGA was carried out for a relaxed structure of CoAuSeN2.

a = 3.6063 Å, b = 3.6063 Å, c = 5.8218 Å
α = 90.00°, β = 90.00°, γ = 90.00°
With the nearest neighbours (Å) after each atom.
Space group P4/mmm (No. 123)
Asymmetric unit:
Co1 0.0000 0.0000 0.0000 [1 per cell]  4 N 1.80
Au1 0.5000 0.5000 0.5000 [1 per cell]  4 Se 2.55
Se1 0.0000 0.0000 0.5000 [1 per cell]  4 Au 2.55
N1 0.0000 0.5000 0.0000 [2 per cell]  2 Co 1.80

Computed properties:
The calculation puts the total energy at -5.070 eV per atom. The value obtained for the calculated density is 7.958 g cm⁻³. The calculation puts the formation energy without anion corrections at 1.034 eV per atom.

Entry 2:
A plane-wave DFT calculation with PBE-GGA was carried out for a relaxed structure of CoAuSeN2.

a = 3.7691 Å, b = 3.7691 Å, c = 7.7644 Å
α = 90.00°, β = 90.00°, γ = 90.00°
With the nearest neighbours (Å) after each atom.
Space group P4/mmm (No. 123)
Asymmetric unit:
Co1 0.0000 0.0000 0.0000 [1 per cell]  4 Se 2.67
Au1 0.5000 0.5000 0.5000 [1 per cell]  4 N 1.88
Se1 0.5000 0.5000 0.0000 [1 per cell]  4 Co 2.67
N1 0.0000 0.5000 0.5000 [2 per cell]  2 Au 1.88

Computed properties:
The calculation puts the total energy at -4.188 eV per atom. The value obtained for the calculated density is 5.463 g cm⁻³. The calculation puts the formation energy without anion corrections at 1.916 eV per atom.

Entry 3:
A plane-wave DFT calculation with PBE-GGA was carried out for a relaxed structure of CoAuSe2N.

a = 5.0017 Å, b = 5.0017 Å, c = 3.3509 Å
α = 90.00°, β = 90.00°, γ = 90.00°
With the nearest neighbours (Å) after each atom.
Space group P4/mmm (No. 123)
Asymmetric unit:
Co1 0.0000 0.0000 0.0000 [1 per cell]  2 N 1.68
Au1 0.5000 0.5000 0.5000 [1 per cell]  8 Se 3.01, 2 Au 3.35
Se1 0.0000 0.5000 0.0000 [2 per cell]  2 Co 2.50
N1 0.0000 0.0000 0.5000 [1 per cell]  2 Co 1.68

Computed properties:
The calculation puts the total energy at -4.663 eV per atom. The value obtained for the calculated density is 8.475 g cm⁻³. The calculation puts the formation energy without anion corrections at 0.472 eV per atom.

Entry 4:
A plane-wave DFT calculation with PBE-GGA was carried out for a relaxed structure of CoSnAu2N.

a = 4.9161 Å, b = 4.9161 Å, c = 3.4896 Å
α = 90.00°, β = 90.00°, γ = 90.00°
With the nearest neighbours (Å) after each atom.
Space group P4/mmm (No. 123)
Asymmetric unit:
Co1 0.0000 0.0000 0.0000 [1 per cell]  2 N 1.74
Sn1 0.5000 0.5000 0.0000 [1 per cell]  8 Au 3.01
Au1 0.0000 0.5000 0.5000 [2 per cell]  2 N 2.46
N1 0.0000 0.0000 0.5000 [1 per cell]  2 Co 1.74

Computed properties:
The calculation puts the total energy at -4.735 eV per atom. The value obtained for the calculated density is 11.530 g cm⁻³. The calculation puts the formation energy without anion corrections at 0.463 eV per atom.

Entry 5:
A plane-wave DFT calculation with PBE-GGA was carried out for a relaxed structure of VCo2AuN.

a = 3.8794 Å, b = 3.8794 Å, c = 3.9260 Å
α = 90.00°, β = 90.00°, γ = 90.00°
With the nearest neighbours (Å) after each atom.
Space group P4/mmm (No. 123)
Asymmetric unit:
V1 0.0000 0.0000 0.0000 [1 per cell]  2 N 1.96
Co1 0.0000 0.5000 0.5000 [2 per cell]  2 N 1.94
Au1 0.5000 0.5000 0.0000 [1 per cell]  4 V 2.74, 8 Co 2.76
N1 0.0000 0.0000 0.5000 [1 per cell]  4 Co 1.94, 2 V 1.96

Computed properties:
The calculation puts the total energy at -7.153 eV per atom. The value obtained for the calculated density is 10.674 g cm⁻³. The calculation puts the formation energy without anion corrections at -0.167 eV per atom.

Entry 6:
A plane-wave DFT calculation with PBE-GGA was carried out for a relaxed structure of V2CoAuN.

a = 3.9519 Å, b = 3.9519 Å, c = 3.8672 Å
α = 90.00°, β = 90.00°, γ = 90.00°
With the nearest neighbours (Å) after each atom.
Space group P4/mmm (No. 123)
Asymmetric unit:
V1 0.0000 0.5000 0.0000 [2 per cell]  2 N 1.98
Co1 0.0000 0.0000 0.5000 [1 per cell]  2 N 1.93
Au1 0.5000 0.5000 0.5000 [1 per cell]  8 V 2.76, 4 Co 2.79
N1 0.0000 0.0000 0.0000 [1 per cell]  2 Co 1.93, 4 V 1.98

Computed properties:
The calculation puts the total energy at -7.761 eV per atom. The value obtained for the calculated density is 10.222 g cm⁻³. The calculation puts the formation energy without anion corrections at -0.371 eV per atom.